The following is a DFT calculation (PBE with a Hubbard U) of a relaxed structure of Li3Cr3FeO8.

abc: 5.182 7.840 7.871
angles: 94.14 109.18 96.21
Fractional coordinates of all 30 atoms:
Li  0.131  0.377  0.134
Li  0.241  0.751  0.240
Li  0.365  0.133  0.369
Li  0.635  0.867  0.631
Li  0.759  0.249  0.760
Li  0.869  0.623  0.866
Cr  0.183  0.062  0.689
Cr  0.323  0.438  0.811
Cr  0.438  0.815  0.940
Cr  0.562  0.185  0.060
Cr  0.677  0.562  0.189
Cr  0.817  0.938  0.311
Fe  0.074  0.682  0.560
Fe  0.926  0.318  0.440
O  0.058  0.531  0.343
O  0.058  0.847  0.766
O  0.183  0.221  0.894
O  0.196  0.912  0.469
O  0.299  0.596  0.024
O  0.314  0.264  0.604
O  0.449  0.969  0.161
O  0.457  0.662  0.731
O  0.543  0.338  0.269
O  0.551  0.031  0.839
O  0.686  0.736  0.396
O  0.701  0.404  0.976
O  0.804  0.088  0.531
O  0.817  0.779  0.106
O  0.942  0.153  0.234
O  0.942  0.469  0.657

Summary:
- Distance to the lowest polymorph of the same formula: 0.00 eV/f.u.
- Uncorrected energy: -6.76 eV/atom